Below is an optimized crystal structure of Hf2Fe5GeB2, with properties calculated at the GGA-PBE level.

Properties
**Spin magnetization**: 0.04 μB/f.u.
**Total DFT energy (no corrections)**: -8.5047 eV per atom
**Energy of formation from the pure elements**: -485 meV per atom

Cell: 2.9674 8.7671 8.7671 Å, 90.00 90.00 90.00°
Fractional coordinates of all 20 atoms:
Hf (0.0000, 0.3242, 0.8242)
Hf (0.0000, 0.8242, 0.6758)
Hf (0.0000, 0.1758, 0.3242)
Hf (0.0000, 0.6758, 0.1758)
Fe (0.5000, 0.2185, 0.0674)
Fe (0.5000, 0.0000, 0.5000)
Fe (0.5000, 0.5000, 0.0000)
Fe (0.5000, 0.5674, 0.7185)
Fe (0.5000, 0.9326, 0.2185)
Fe (0.5000, 0.7815, 0.9326)
Fe (0.5000, 0.2815, 0.5674)
Fe (0.5000, 0.7185, 0.4326)
Fe (0.5000, 0.4326, 0.2815)
Fe (0.5000, 0.0674, 0.7815)
B (0.0000, 0.8793, 0.3793)
B (0.0000, 0.3793, 0.1207)
B (0.0000, 0.6207, 0.8793)
B (0.0000, 0.1207, 0.6207)
Ge (0.0000, 0.5000, 0.5000)
Ge (0.0000, 0.0000, 0.0000)